Entry from Alexandria via LeMat-Bulk: a relaxed LiSc3 crystal (GGA-PBE).

Geometry as POSCAR:
```
LiSc3
1.0
3.304 0.000 0.000
0.000 3.304 0.000
0.000 0.000 8.375
Li Sc
1 3
Direct
0.000 0.000 0.000
0.000 0.000 0.500
0.500 0.500 0.234
0.500 0.500 0.766
```

Calculated values
formation energy from the elements	0.110	eV/atom
DOS at the Fermi energy	5.45	states/eV per cell

***

Entry from Alexandria via LeMat-Bulk: a relaxed LiSc3 crystal (GGA-PBE).

Geometry as POSCAR:
```
LiSc3
1.0
-2.235 2.235 4.702
2.235 -2.235 4.702
2.235 2.235 -4.702
Li Sc
1 3
Direct
0.000 0.000 0.000
0.250 0.750 0.500
0.500 0.500 0.000
0.750 0.250 0.500
```

Calculated values
formation energy from the elements	0.216	eV/atom
DOS at the Fermi energy	7.30	states/eV per cell

***

Entry from Alexandria via LeMat-Bulk: a relaxed Li2Sc crystal (GGA-PBE).

Geometry as POSCAR:
```
Li2Sc
1.0
-1.480 1.480 15.196
1.480 -1.480 15.196
1.480 1.480 -15.196
Li Sc
4 2
Direct
0.293 0.543 0.750
0.457 0.707 0.750
0.543 0.293 0.250
0.707 0.457 0.250
0.125 0.875 0.250
0.875 0.125 0.750
```

Calculated values
formation energy from the elements	0.202	eV/atom
DOS at the Fermi energy	6.99	states/eV per cell

***

Entry from Alexandria via LeMat-Bulk: a relaxed Li2Sc crystal (GGA-PBE).

Geometry as POSCAR:
```
Li2Sc
1.0
1.597 -7.784 0.000
1.597 7.784 0.000
0.000 0.000 5.052
Li Sc
4 2
Direct
0.109 0.891 0.750
0.243 0.757 0.250
0.757 0.243 0.750
0.891 0.109 0.250
0.437 0.563 0.750
0.563 0.437 0.250
```

Calculated values
formation energy from the elements	0.170	eV/atom
DOS at the Fermi energy	6.90	states/eV per cell

***

Entry from Alexandria via LeMat-Bulk: a relaxed Li2Sc crystal (GGA-PBE).

Geometry as POSCAR:
```
Li2Sc
1.0
-2.143 2.143 13.972
2.143 -2.143 13.972
2.143 2.143 -13.972
Li Sc
8 4
Direct
0.122 0.372 0.750
0.294 0.544 0.750
0.372 0.122 0.250
0.456 0.706 0.750
0.544 0.294 0.250
0.628 0.878 0.750
0.706 0.456 0.250
0.878 0.628 0.250
0.040 0.790 0.250
0.210 0.960 0.250
0.790 0.040 0.750
0.960 0.210 0.750
```

Calculated values
formation energy from the elements	0.242	eV/atom
DOS at the Fermi energy	13.63	states/eV per cell

***

Entry from Alexandria via LeMat-Bulk: a relaxed LiSc3 crystal (GGA-PBE).

Geometry as POSCAR:
```
LiSc3
1.0
-1.727 2.516 5.189
1.727 -2.516 5.189
1.727 2.516 -5.189
Li Sc
1 3
Direct
0.000 0.000 0.000
0.226 0.726 0.500
0.500 0.500 0.000
0.774 0.274 0.500
```

Calculated values
formation energy from the elements	0.110	eV/atom
DOS at the Fermi energy	6.23	states/eV per cell

***

Entry from Alexandria via LeMat-Bulk: a relaxed LiSc2 crystal (GGA-PBE).

Geometry as POSCAR:
```
LiSc2
1.0
5.700 -1.679 0.000
5.700 1.679 0.000
-2.631 0.000 7.097
Li Sc
2 4
Direct
0.000 0.000 0.000
0.663 0.663 0.288
0.036 0.036 0.501
0.344 0.344 0.639
0.346 0.346 0.186
0.674 0.674 0.844
```

Calculated values
formation energy from the elements	0.157	eV/atom
DOS at the Fermi energy	8.48	states/eV per cell

***

Entry from Alexandria via LeMat-Bulk: a relaxed LiSc2 crystal (GGA-PBE).

Geometry as POSCAR:
```
LiSc2
1.0
-1.652 1.652 12.362
1.652 -1.652 12.362
1.652 1.652 -12.362
Li Sc
2 4
Direct
0.375 0.625 0.750
0.625 0.375 0.250
0.052 0.802 0.250
0.198 0.948 0.250
0.802 0.052 0.750
0.948 0.198 0.750
```

Calculated values
formation energy from the elements	0.325	eV/atom
DOS at the Fermi energy	8.38	states/eV per cell

***

Entry from Alexandria via LeMat-Bulk: a relaxed LiSc2 crystal (GGA-PBE).

Geometry as POSCAR:
```
LiSc2
1.0
6.532 0.000 0.000
0.000 6.532 0.000
0.000 0.000 6.532
Li Sc
4 8
Direct
0.000 0.000 0.000
0.000 0.500 0.500
0.500 0.000 0.500
0.500 0.500 0.000
0.146 0.646 0.854
0.146 0.854 0.354
0.354 0.146 0.854
0.354 0.354 0.354
0.646 0.646 0.646
0.646 0.854 0.146
0.854 0.146 0.646
0.854 0.354 0.146
```

Calculated values
formation energy from the elements	0.526	eV/atom
DOS at the Fermi energy	22.03	states/eV per cell

***

Entry from Alexandria via LeMat-Bulk: a relaxed Li4Sc crystal (GGA-PBE).

Geometry as POSCAR:
```
Li4Sc
1.0
5.455 0.000 0.000
0.000 5.455 0.000
0.000 0.000 5.455
Li Sc
4 1
Direct
0.000 0.000 0.000
0.000 0.500 0.500
0.500 0.000 0.500
0.500 0.500 0.000
0.500 0.500 0.500
```

Calculated values
formation energy from the elements	0.849	eV/atom
DOS at the Fermi energy	8.25	states/eV per cell

***

Entry from Alexandria via LeMat-Bulk: a relaxed Li5Sc crystal (GGA-PBE).

Geometry as POSCAR:
```
Li5Sc
1.0
2.579 -7.646 0.000
2.579 7.646 0.000
0.000 0.000 3.123
Li Sc
5 1
Direct
0.000 0.000 0.000
0.153 0.847 0.500
0.320 0.680 0.000
0.680 0.320 0.000
0.847 0.153 0.500
0.500 0.500 0.500
```

Calculated values
formation energy from the elements	0.118	eV/atom
DOS at the Fermi energy	4.41	states/eV per cell

***

Entry from Alexandria via LeMat-Bulk: a relaxed Li5Sc crystal (GGA-PBE).

Geometry as POSCAR:
```
Li5Sc
1.0
5.629 -1.519 0.000
5.629 1.519 0.000
-2.419 0.000 7.212
Li Sc
5 1
Direct
0.000 0.000 0.000
0.026 0.026 0.586
0.321 0.321 0.659
0.640 0.640 0.342
0.699 0.699 0.894
0.351 0.351 0.244
```

Calculated values
formation energy from the elements	0.114	eV/atom
DOS at the Fermi energy	2.89	states/eV per cell

***

Q: Among the records above, which one has the highest formation energy from the elements?
A: Li4Sc

***

Q: Which formula does entry 10 have?
A: Li4Sc

***

Q: formation energy from the elements of number 9 (LiSc2)?
A: 0.526 eV/atom

***

Q: Which of these has the lowest DOS at the Fermi energy?
A: number 12